(1)
Entry from Alexandria via LeMat-Bulk: a relaxed BaTaCu crystal (PBE-GGA).

extended XYZ file:
```
3
Lattice="0.000 3.452 3.452 3.452 0.000 3.452 3.452 3.452 0.000" Properties=species:S:1:pos:R:3 pbc="T T T"
Ba 0.000 0.000 0.000
Ta 5.178 5.178 5.178
Cu 1.726 1.726 1.726
```

Computed properties:
As for the energy of formation: 2.0642 eV/atom.

***

(2)
Entry from Alexandria via LeMat-Bulk: a relaxed LiFe2TeC crystal (PBE-GGA).

extended XYZ file:
```
5
Lattice="4.164 0.000 0.000 0.000 4.164 0.000 0.000 0.000 4.447" Properties=species:S:1:pos:R:3 pbc="T T T"
Li 0.000 0.000 0.000
Fe 0.000 2.082 0.000
Fe 2.082 0.000 0.000
Te 0.000 0.000 2.223
C 2.082 2.082 2.223
```

Computed properties:
As for the uncorrected formation energy: 1.976 eV/atom.

***

(3)
Entry from Alexandria via LeMat-Bulk: a relaxed La3Zn2Pt3 crystal (PBE-GGA).

extended XYZ file:
```
16
Lattice="8.609 0.000 0.000 -4.304 7.455 0.000 0.000 0.000 5.917" Properties=species:S:1:pos:R:3 pbc="T T T"
La -1.232 2.134 1.479
La -3.072 5.321 4.438
La 2.465 0.000 1.479
La 1.232 2.134 4.438
La 6.144 0.000 4.438
La 3.072 5.321 1.479
Zn 0.000 4.970 0.000
Zn 0.000 4.970 2.959
Zn 4.304 2.485 0.000
Zn 4.304 2.485 2.959
Pt -1.654 2.865 4.438
Pt -2.650 4.590 1.479
Pt 3.308 0.000 4.438
Pt 1.654 2.865 1.479
Pt 5.300 0.000 1.479
Pt 2.650 4.590 4.438
```

Computed properties:
As for the energy of formation: -0.8425 eV/atom.

***

(4)
Entry from Alexandria via LeMat-Bulk: a relaxed Tl2InNi crystal (PBE-GGA).

extended XYZ file:
```
4
Lattice="4.573 0.000 0.000 0.000 4.573 0.000 0.000 0.000 4.475" Properties=species:S:1:pos:R:3 pbc="T T T"
Tl 0.000 2.287 0.000
Tl 2.287 0.000 0.000
In 0.000 0.000 2.238
Ni 2.287 2.287 2.238
```

Computed properties:
As for the energy of formation: 0.3776 eV/atom.

***

(5)
Entry from Alexandria via LeMat-Bulk: a relaxed Mg crystal (PBE-GGA).

extended XYZ file:
```
1
Lattice="3.020 0.000 0.000 0.000 3.020 0.000 0.000 0.000 3.020" Properties=species:S:1:pos:R:3 pbc="T T T"
Mg 0.000 0.000 0.000
```

Computed properties:
As for the energy of formation: 0.3786 eV/atom.

***

(6)
Entry from Alexandria via LeMat-Bulk: a relaxed MgTi crystal (PBE-GGA).

extended XYZ file:
```
12
Lattice="6.307 0.000 0.000 0.000 4.789 0.000 -1.501 0.000 7.816" Properties=species:S:1:pos:R:3 pbc="T T T"
Mg 0.002 1.197 0.926
Mg 0.059 3.591 4.290
Mg 1.663 1.197 3.463
Mg 3.143 3.591 4.354
Mg 4.747 1.197 3.527
Mg 4.804 3.591 6.891
Ti 0.288 1.197 6.267
Ti 1.764 3.591 1.499
Ti 1.649 3.591 7.014
Ti 3.157 1.197 0.803
Ti 3.042 1.197 6.318
Ti 4.518 3.591 1.550
```

Computed properties:
As for the energy of formation: 0.1440 eV/atom.

***

(7)
Entry from Alexandria via LeMat-Bulk: a relaxed Pm2Nd2Sb5 crystal (PBE-GGA).

extended XYZ file:
```
18
Lattice="8.110 -4.105 0.000 8.110 4.105 0.000 0.000 0.000 8.366" Properties=species:S:1:pos:R:3 pbc="T T T"
Pm 3.077 0.000 0.000
Pm 5.033 0.000 4.183
Pm 11.187 0.000 4.183
Pm 13.143 0.000 0.000
Nd 8.110 2.794 5.546
Nd 8.110 1.311 1.363
Nd 8.110 -1.311 7.003
Nd 8.110 -2.794 2.820
Sb 0.000 0.000 0.000
Sb 2.281 1.149 5.358
Sb 5.829 1.149 7.192
Sb 2.281 -1.149 3.009
Sb 5.829 -1.149 1.175
Sb 8.110 0.000 4.183
Sb 10.391 1.149 7.192
Sb 13.939 1.149 5.358
Sb 10.391 -1.149 1.175
Sb 13.939 -1.149 3.009
```

Computed properties:
As for the uncorrected formation energy: -0.921 eV/atom.

***

(8)
Entry from Alexandria via LeMat-Bulk: a relaxed LaSb3Ru crystal (PBE-GGA).

extended XYZ file:
```
20
Lattice="13.169 0.000 0.000 0.000 6.265 0.000 0.000 0.000 6.129" Properties=species:S:1:pos:R:3 pbc="T T T"
La 2.572 0.020 1.532
La 2.572 3.113 4.597
La 10.597 3.152 1.532
La 10.597 6.245 4.597
Sb 0.011 1.566 0.000
Sb 0.011 1.566 3.065
Sb 3.797 3.214 1.532
Sb 3.797 6.184 4.597
Sb 5.823 3.752 4.597
Sb 5.823 5.646 1.532
Sb 7.346 0.619 4.597
Sb 7.346 2.513 1.532
Sb 9.372 0.081 1.532
Sb 9.372 3.051 4.597
Sb 13.158 4.699 0.000
Sb 13.158 4.699 3.065
Ru 5.308 1.566 0.000
Ru 5.308 1.566 3.065
Ru 7.861 4.699 0.000
Ru 7.861 4.699 3.065
```

Computed properties:
As for the uncorrected formation energy: -0.631 eV/atom.

***

(9)
Entry from Alexandria via LeMat-Bulk: a relaxed NaNpPt crystal (PBE-GGA).

extended XYZ file:
```
6
Lattice="2.549 -2.218 0.000 2.549 2.218 0.000 -0.916 0.000 11.569" Properties=species:S:1:pos:R:3 pbc="T T T"
Na 0.827 0.000 4.326
Na 3.355 0.000 7.243
Np 0.995 0.000 0.663
Np 3.188 0.000 10.906
Pt 0.807 0.000 9.198
Pt 3.375 0.000 2.371
```

Computed properties:
As for the energy of formation: -0.2571 eV/atom.

***

(10)
Entry from Alexandria via LeMat-Bulk: a relaxed Ca3Nd2ThSe6 crystal (PBE-GGA).

extended XYZ file:
```
12
Lattice="9.259 -2.075 0.000 9.259 2.075 0.000 -2.259 0.000 8.235" Properties=species:S:1:pos:R:3 pbc="T T T"
Ca 0.000 0.000 0.000
Ca 4.642 0.000 5.508
Ca 11.617 0.000 2.726
Nd 5.832 0.000 1.420
Nd 10.426 0.000 6.815
Th -1.129 0.000 4.117
Se 2.889 0.000 0.702
Se 1.811 0.000 4.743
Se 7.489 0.000 6.207
Se 8.770 0.000 2.028
Se 14.447 0.000 3.492
Se 13.370 0.000 7.533
```

Computed properties:
As for the uncorrected formation energy: -1.832 eV/atom.

***

(11)
Entry from Alexandria via LeMat-Bulk: a relaxed TcSbTe2Pb crystal (PBE-GGA).

extended XYZ file:
```
5
Lattice="5.390 0.000 0.000 0.000 5.390 0.000 0.000 0.000 5.082" Properties=species:S:1:pos:R:3 pbc="T T T"
Tc 0.000 0.000 0.000
Sb 0.000 0.000 2.541
Te 0.000 2.695 0.000
Te 2.695 0.000 0.000
Pb 2.695 2.695 2.541
```

Computed properties:
As for the uncorrected formation energy: 0.384 eV/atom.

***

(12)
Entry from Alexandria via LeMat-Bulk: a relaxed Na2GaP2Pd crystal (PBE-GGA).

extended XYZ file:
```
12
Lattice="-2.793 6.955 2.948 2.793 -6.955 2.948 2.793 6.955 -2.948" Properties=species:S:1:pos:R:3 pbc="T T T"
Na 1.309 2.471 0.000
Na 1.309 -2.471 2.948
Na 1.484 9.426 0.000
Na 1.484 4.485 2.948
Ga 2.793 0.000 1.474
Ga 0.000 6.955 1.474
P 4.127 1.480 0.000
P 1.334 5.475 0.000
P 1.459 1.480 2.948
P -1.334 5.475 2.948
Pd 0.000 0.000 1.474
Pd 0.000 0.000 4.421
```

Computed properties:
As for the energy of formation: -0.3823 eV/atom.

***

(13)
Entry from Alexandria via LeMat-Bulk: a relaxed AlCrGaFe crystal (PBE-GGA).

extended XYZ file:
```
4
Lattice="0.000 2.954 2.954 2.954 0.000 2.954 2.954 2.954 0.000" Properties=species:S:1:pos:R:3 pbc="T T T"
Al 0.000 0.000 0.000
Cr 1.477 1.477 1.477
Ga 2.954 2.954 2.954
Fe 4.431 4.431 4.431
```

Computed properties:
As for the energy of formation: -0.1184 eV/atom.

***

(14)
Entry from Alexandria via LeMat-Bulk: a relaxed CsSbI crystal (PBE-GGA).

extended XYZ file:
```
6
Lattice="4.361 0.000 0.000 2.166 6.968 0.000 0.010 3.762 9.974" Properties=species:S:1:pos:R:3 pbc="T T T"
Cs 0.000 0.000 0.000
Cs 2.161 7.272 6.305
Sb 2.174 1.452 3.068
Sb 4.355 3.318 2.992
I 4.352 7.613 9.527
I 4.340 4.126 6.117
```

Computed properties:
As for the uncorrected formation energy: -0.776 eV/atom.

***

(15)
Entry from Alexandria via LeMat-Bulk: a relaxed Pr3TlIr crystal (PBE-GGA).

extended XYZ file:
```
5
Lattice="5.587 0.000 0.000 0.000 5.587 0.000 0.000 0.000 5.587" Properties=species:S:1:pos:R:3 pbc="T T T"
Pr 0.000 0.000 2.794
Pr 0.000 2.794 0.000
Pr 2.794 0.000 0.000
Tl 2.794 2.794 2.794
Ir 0.000 0.000 0.000
```

Computed properties:
As for the energy of formation: -0.2604 eV/atom.

***

(16)
Entry from Alexandria via LeMat-Bulk: a relaxed MoAs2Cl crystal (PBE-GGA).

extended XYZ file:
```
4
Lattice="-1.493 2.350 5.519 1.493 -2.350 5.519 1.493 2.350 -5.519" Properties=species:S:1:pos:R:3 pbc="T T T"
Mo 0.000 0.000 0.000
As 1.493 0.000 2.126
As 0.000 2.350 3.394
Cl 0.000 0.000 5.519
```

Computed properties:
As for the uncorrected formation energy: 0.289 eV/atom.

***

(17)
Entry from Alexandria via LeMat-Bulk: a relaxed V3PbS crystal (PBE-GGA).

extended XYZ file:
```
5
Lattice="4.366 0.000 0.000 0.000 4.366 0.000 0.000 0.000 4.366" Properties=species:S:1:pos:R:3 pbc="T T T"
V 0.000 0.000 2.183
V 0.000 2.183 0.000
V 2.183 0.000 0.000
Pb 2.183 2.183 2.183
S 0.000 0.000 0.000
```

Computed properties:
As for the uncorrected formation energy: 0.087 eV/atom.

***

(18)
Entry from Alexandria via LeMat-Bulk: a relaxed Ti2NbSn crystal (PBE-GGA).

extended XYZ file:
```
4
Lattice="4.447 0.000 0.000 0.000 4.447 0.000 0.000 0.000 3.643" Properties=species:S:1:pos:R:3 pbc="T T T"
Ti 0.000 2.223 0.000
Ti 2.223 0.000 0.000
Nb 0.000 0.000 1.821
Sn 2.223 2.223 1.821
```

Computed properties:
As for the energy of formation: -0.2961 eV/atom.

***

(19)
Entry from Alexandria via LeMat-Bulk: a relaxed Rb2HgRuS crystal (PBE-GGA).

extended XYZ file:
```
5
Lattice="6.208 0.000 0.000 0.000 6.208 0.000 0.000 0.000 5.193" Properties=species:S:1:pos:R:3 pbc="T T T"
Rb 0.000 3.104 0.000
Rb 3.104 0.000 0.000
Hg 0.000 0.000 2.596
Ru 0.000 0.000 0.000
S 3.104 3.104 2.596
```

Computed properties:
As for the uncorrected formation energy: 0.675 eV/atom.

***

(20)
Entry from Alexandria via LeMat-Bulk: a relaxed InSeI3 crystal (PBE-GGA).

extended XYZ file:
```
5
Lattice="5.945 0.000 0.000 0.000 5.945 0.000 0.000 0.000 5.945" Properties=species:S:1:pos:R:3 pbc="T T T"
In 0.000 0.000 0.000
Se 2.973 2.973 2.973
I 0.000 0.000 2.973
I 0.000 2.973 0.000
I 2.973 0.000 0.000
```

Computed properties:
As for the uncorrected formation energy: 0.221 eV/atom.

***

Number 1: magnetization 0.0 μB per cell, uncorrected energy -11.7 eV/cell. Number 2: magnetization 5.1 μB per cell, uncorrected energy -21.3 eV/cell. Number 3: magnetization 0.0 μB per cell, uncorrected energy -84.4 eV/cell. Number 4: magnetization 0.0 μB per cell, uncorrected energy -11.7 eV/cell. Number 5: magnetization 0.0 μB per cell, uncorrected energy -1.2 eV/cell. Number 6: magnetization 0.3 μB per cell, uncorrected energy -55.2 eV/cell. Number 7: magnetization 0.0 μB per cell, uncorrected energy -95.9 eV/cell. Number 8: magnetization 0.0 μB per cell, uncorrected energy -118.9 eV/cell. Number 9: magnetization 0.0 μB per cell, uncorrected energy -42.1 eV/cell. Number 10: magnetization 0.0 μB per cell, uncorrected energy -65.9 eV/cell. Number 11: magnetization 0.0 μB per cell, uncorrected energy -22.6 eV/cell. Number 12: magnetization 0.0 μB per cell, uncorrected energy -47.9 eV/cell. Number 13: magnetization 3.3 μB per cell, uncorrected energy -25.3 eV/cell. Number 14: magnetization 0.0 μB per cell, uncorrected energy -17.7 eV/cell. Number 15: magnetization 0.0 μB per cell, uncorrected energy -26.9 eV/cell. Number 16: magnetization 0.0 μB per cell, uncorrected energy -20.8 eV/cell. Number 17: magnetization 1.0 μB per cell, uncorrected energy -34.8 eV/cell. Number 18: magnetization 0.0 μB per cell, uncorrected energy -31.0 eV/cell. Number 19: magnetization 2.8 μB per cell, uncorrected energy -12.3 eV/cell. Number 20: magnetization 2.4 μB per cell, uncorrected energy -9.8 eV/cell.